## MgScIr (GGA-PBEsol)

Data for an optimized crystal structure of MgScIr.

Computed properties:
Total energy   -19.53 eV/cell
Space-group type   No. 156
Density of states at the Fermi level   1.25 states/eV per cell

Structure (POSCAR):
```
MgScIr
1.0
2.9917 0.0000 0.0000
0.0000 4.4414 0.0000
0.0000 -2.2207 3.8464
Ir Mg Sc
1 1 1
Cartesian
2.9746 0.0000 0.0000
2.1232 0.0000 2.5643
0.8855 2.2207 1.2821
```

## Mg2ScIr (GGA-PBEsol)

Data for an optimized crystal structure of Mg2ScIr.

Computed properties:
Total energy   -21.53 eV/cell
Space-group type   No. 99
Density of states at the Fermi level   1.46 states/eV per cell

Structure (POSCAR):
```
Mg2ScIr
1.0
-0.8493 -2.7527 -1.3306
1.7620 0.6879 -2.5478
5.9757 -3.3980 3.2153
Sc Mg Ir
1 2 1
Cartesian
3.7718 -2.9177 -0.1553
6.1693 -4.2810 1.1347
1.4344 -0.8157 0.7718
4.4765 -2.5455 2.4086
```

## MgSc2Ir (GGA-PBEsol)

Data for an optimized crystal structure of MgSc2Ir.

Computed properties:
Total energy   -26.65 eV/cell
Space-group type   No. 123
Density of states at the Fermi level   4.16 states/eV per cell

Structure (POSCAR):
```
MgSc2Ir
1.0
-1.7037 2.2954 2.0018
-0.3662 -3.1422 3.2913
3.9673 1.3967 1.7749
Sc Mg Ir
2 1 1
Cartesian
-0.1831 -1.5711 1.6457
1.9836 0.6984 0.8874
0.9487 0.2749 3.5340
-0.8518 1.1477 1.0009
```

## MgScIr (GGA-PBEsol)

Data for an optimized crystal structure of MgScIr.

Computed properties:
Total energy   -19.51 eV/cell
Space-group type   No. 216
Density of states at the Fermi level   0.78 states/eV per cell

Structure (POSCAR):
```
MgScIr
1.0
4.4046 0.0000 0.0000
2.2023 3.8145 0.0000
2.2023 1.2715 3.5964
Ir Mg Sc
1 1 1
Cartesian
2.2023 1.2715 0.8991
0.0000 0.0000 0.0000
4.4046 2.5430 1.7982
```

- Among the records above, which one has the lowest total energy?
  MgSc2Ir

- The lowest total energy belongs to which entry?
  MgSc2Ir

- density of states at the Fermi level of number 2 (Mg2ScIr)?
  1.46 states/eV per cell